(1)
Below is a crystal of Li2TlPt relaxed with PBEsol, with properties calculated at the meta-GGA SCAN level.

abc: 9.374 2.944 4.804
angles: 90.00 100.84 90.00
Element x y z (fractional)
Li (0.000, 0.000, 0.000)
Li (0.235, 0.000, 0.748)
Li (0.500, 0.500, 0.000)
Li (0.735, 0.500, 0.748)
Tl (0.481, 0.000, 0.483)
Tl (0.981, 0.500, 0.483)
Pt (0.229, 0.500, 0.223)
Pt (0.729, 0.000, 0.223)

electronic total energy: -148.93 eV/f.u.
density of states at the Fermi level: 1.1 states/eV/f.u.
formation energy from the elements: -0.40 eV/atom
total moment: 0.000 μB per cell

***

(2)
Below is a crystal of LaUO4 relaxed with PBEsol, with properties calculated at the meta-GGA SCAN level.

abc: 6.626 6.626 6.626
angles: 34.01 34.01 34.01
Element x y z (fractional)
La (0.000, 0.000, 0.000)
U (0.500, 0.500, 0.500)
O (0.134, 0.134, 0.134)
O (0.386, 0.386, 0.386)
O (0.614, 0.614, 0.614)
O (0.866, 0.866, 0.866)

electronic total energy: -193.63 eV/f.u.
formation energy from raw total energies: -3678 meV/atom
density of states at the Fermi level: 5.5 states/eV/f.u.
total moment: 1.000 μB per cell

***

(3)
Below is a crystal of MnReAs2 relaxed with PBEsol, with properties calculated at the meta-GGA SCAN level.

abc: 3.206 3.231 11.370
angles: 90.00 90.00 90.00
Element x y z (fractional)
Mn (0.000, 0.000, 0.000)
Mn (0.500, 0.500, 0.500)
Re (0.000, 0.500, 0.757)
Re (0.500, 0.000, 0.257)
As (0.000, 0.000, 0.426)
As (0.000, 0.500, 0.160)
As (0.500, 0.000, 0.660)
As (0.500, 0.500, 0.926)

electronic total energy: -129.75 eV/f.u.
excess energy over the best structure of this formula in the dataset: 0.0000 eV/atom
density of states at the Fermi level: 2.0 states/eV/f.u.
formation energy from the elements: 0.00 eV/atom
total moment: 6.278 μB per cell

***

(4)
Below is a crystal of GdOF relaxed with PBEsol, with properties calculated at the meta-GGA SCAN level.

abc: 3.844 3.844 5.627
angles: 90.00 90.00 90.00
Element x y z (fractional)
Gd (0.250, 0.250, 0.203)
Gd (0.750, 0.750, 0.797)
O (0.250, 0.750, 0.000)
O (0.750, 0.250, 0.000)
F (0.250, 0.250, 0.606)
F (0.750, 0.750, 0.394)

electronic total energy: -80.52 eV/f.u.
formation energy from raw total energies: -3978 meV/atom
density of states at the Fermi level: 0.0 states/eV/f.u.
total moment: 14.000 μB per cell

***

(5)
Below is a crystal of Sc2Hg relaxed with PBEsol, with properties calculated at the meta-GGA SCAN level.

abc: 9.065 9.065 9.065
angles: 60.00 60.00 60.00
Element x y z (fractional)
Sc (0.000, 0.000, 0.000)
Sc (0.000, 0.000, 0.500)
Sc (0.000, 0.500, 0.000)
Sc (0.189, 0.189, 0.561)
Sc (0.189, 0.561, 0.189)
Sc (0.189, 0.561, 0.561)
Sc (0.439, 0.439, 0.811)
Sc (0.439, 0.811, 0.439)
Sc (0.439, 0.811, 0.811)
Sc (0.500, 0.000, 0.000)
Sc (0.561, 0.189, 0.189)
Sc (0.561, 0.189, 0.561)
Sc (0.561, 0.561, 0.189)
Sc (0.811, 0.439, 0.439)
Sc (0.811, 0.439, 0.811)
Sc (0.811, 0.811, 0.439)
Hg (0.156, 0.781, 0.781)
Hg (0.219, 0.219, 0.219)
Hg (0.219, 0.219, 0.844)
Hg (0.219, 0.844, 0.219)
Hg (0.781, 0.156, 0.781)
Hg (0.781, 0.781, 0.156)
Hg (0.781, 0.781, 0.781)
Hg (0.844, 0.219, 0.219)

electronic total energy: -98.29 eV/f.u.
density of states at the Fermi level: 0.2 states/eV/f.u.
formation energy from the elements: -0.55 eV/atom
total moment: 0.000 μB per cell

***

(6)
Below is a crystal of BaNaIn2P3O12 relaxed with PBEsol, with properties calculated at the meta-GGA SCAN level.

abc: 10.167 10.167 10.167
angles: 90.00 90.00 90.00
Element x y z (fractional)
Ba (0.194, 0.306, 0.694)
Ba (0.306, 0.694, 0.194)
Ba (0.694, 0.194, 0.306)
Ba (0.806, 0.806, 0.806)
Na (0.078, 0.078, 0.078)
Na (0.422, 0.922, 0.578)
Na (0.578, 0.422, 0.922)
Na (0.922, 0.578, 0.422)
In (0.089, 0.911, 0.411)
In (0.171, 0.671, 0.829)
In (0.329, 0.329, 0.329)
In (0.411, 0.089, 0.911)
In (0.589, 0.589, 0.589)
In (0.671, 0.829, 0.171)
In (0.829, 0.171, 0.671)
In (0.911, 0.411, 0.089)
P (0.012, 0.224, 0.374)
P (0.126, 0.988, 0.724)
P (0.224, 0.374, 0.012)
P (0.276, 0.626, 0.512)
P (0.374, 0.012, 0.224)
P (0.488, 0.776, 0.874)
P (0.512, 0.276, 0.626)
P (0.626, 0.512, 0.276)
P (0.724, 0.126, 0.988)
P (0.776, 0.874, 0.488)
P (0.874, 0.488, 0.776)
P (0.988, 0.724, 0.126)
O (0.012, 0.087, 0.723)
O (0.019, 0.085, 0.311)
O (0.046, 0.822, 0.225)
O (0.077, 0.850, 0.766)
O (0.085, 0.311, 0.019)
O (0.087, 0.723, 0.012)
O (0.150, 0.266, 0.423)
O (0.178, 0.725, 0.454)
O (0.189, 0.981, 0.585)
O (0.223, 0.488, 0.913)
O (0.225, 0.046, 0.822)
O (0.234, 0.577, 0.650)
O (0.266, 0.423, 0.150)
O (0.275, 0.954, 0.322)
O (0.277, 0.512, 0.413)
O (0.311, 0.019, 0.085)
O (0.322, 0.275, 0.954)
O (0.350, 0.734, 0.923)
O (0.413, 0.277, 0.512)
O (0.415, 0.689, 0.519)
O (0.423, 0.150, 0.266)
O (0.454, 0.178, 0.725)
O (0.481, 0.915, 0.811)
O (0.488, 0.913, 0.223)
O (0.512, 0.413, 0.277)
O (0.519, 0.415, 0.689)
O (0.546, 0.678, 0.775)
O (0.577, 0.650, 0.234)
O (0.585, 0.189, 0.981)
O (0.587, 0.777, 0.988)
O (0.650, 0.234, 0.577)
O (0.678, 0.775, 0.546)
O (0.689, 0.519, 0.415)
O (0.723, 0.012, 0.087)
O (0.725, 0.454, 0.178)
O (0.734, 0.923, 0.350)
O (0.766, 0.077, 0.850)
O (0.775, 0.546, 0.678)
O (0.777, 0.988, 0.587)
O (0.811, 0.481, 0.915)
O (0.822, 0.225, 0.046)
O (0.850, 0.766, 0.077)
O (0.913, 0.223, 0.488)
O (0.915, 0.811, 0.481)
O (0.923, 0.350, 0.734)
O (0.954, 0.322, 0.275)
O (0.981, 0.585, 0.189)
O (0.988, 0.587, 0.777)

electronic total energy: -264.20 eV/f.u.
formation energy from raw total energies: -2510 meV/atom
density of states at the Fermi level: 0.0 states/eV/f.u.
total moment: 0.000 μB per cell

***

(7)
Below is a crystal of Mg2Ir3 relaxed with PBEsol, with properties calculated at the meta-GGA SCAN level.

abc: 2.787 2.787 32.851
angles: 90.00 90.00 120.00
Element x y z (fractional)
Mg (0.000, 0.000, 0.100)
Mg (0.000, 0.000, 0.900)
Mg (0.333, 0.667, 0.567)
Mg (0.333, 0.667, 0.767)
Mg (0.667, 0.333, 0.233)
Mg (0.667, 0.333, 0.433)
Ir (0.000, 0.000, 0.300)
Ir (0.000, 0.000, 0.500)
Ir (0.000, 0.000, 0.700)
Ir (0.333, 0.667, 0.167)
Ir (0.333, 0.667, 0.366)
Ir (0.333, 0.667, 0.967)
Ir (0.667, 0.333, 0.033)
Ir (0.667, 0.333, 0.634)
Ir (0.667, 0.333, 0.833)

electronic total energy: -224.33 eV/f.u.
excess energy over the best structure of this formula in the dataset: 0.2757 eV/atom
density of states at the Fermi level: 3.0 states/eV/f.u.
formation energy from the elements: -0.22 eV/atom
total moment: 0.000 μB per cell

***

(8)
Below is a crystal of Tl2SbIr relaxed with PBEsol, with properties calculated at the meta-GGA SCAN level.

abc: 3.133 3.458 8.551
angles: 90.00 90.00 90.00
Element x y z (fractional)
Tl (0.000, 0.000, 0.000)
Tl (0.500, 0.500, 0.295)
Sb (0.500, 0.500, 0.686)
Ir (0.000, 0.000, 0.526)

electronic total energy: -252.49 eV/f.u.
excess energy over the best structure of this formula in the dataset: 0.0000 eV/atom
formation energy from raw total energies: 147 meV/atom
density of states at the Fermi level: 2.1 states/eV/f.u.
total moment: 0.000 μB per cell

***

(9)
Below is a crystal of MnGa2Ni9 relaxed with PBEsol, with properties calculated at the meta-GGA SCAN level.

abc: 3.524 3.524 10.483
angles: 90.00 90.00 90.00
Element x y z (fractional)
Mn (0.000, 0.000, 0.000)
Ga (0.000, 0.000, 0.333)
Ga (0.000, 0.000, 0.667)
Ni (0.000, 0.500, 0.164)
Ni (0.000, 0.500, 0.500)
Ni (0.000, 0.500, 0.836)
Ni (0.500, 0.000, 0.164)
Ni (0.500, 0.000, 0.500)
Ni (0.500, 0.000, 0.836)
Ni (0.500, 0.500, 0.000)
Ni (0.500, 0.500, 0.332)
Ni (0.500, 0.500, 0.668)

electronic total energy: -199.73 eV/f.u.
density of states at the Fermi level: 6.6 states/eV/f.u.
formation energy from the elements: -0.27 eV/atom
total moment: 7.385 μB per cell

***

(10)
Below is a crystal of InBi2SeF relaxed with PBEsol, with properties calculated at the meta-GGA SCAN level.

abc: 5.657 5.657 5.128
angles: 90.00 90.00 90.00
Element x y z (fractional)
In (0.000, 0.000, 0.000)
Bi (0.000, 0.500, 0.000)
Bi (0.500, 0.000, 0.000)
Se (0.000, 0.000, 0.500)
F (0.500, 0.500, 0.500)

electronic total energy: -212.33 eV/f.u.
formation energy from raw total energies: 367 meV/atom
density of states at the Fermi level: 2.3 states/eV/f.u.
total moment: 0.000 μB per cell

***

(11)
Below is a crystal of Be2CuRh2 relaxed with PBEsol, with properties calculated at the meta-GGA SCAN level.

abc: 6.024 6.024 2.927
angles: 90.00 90.00 90.00
Element x y z (fractional)
Be (0.128, 0.372, 0.000)
Be (0.372, 0.872, 0.000)
Be (0.628, 0.128, 0.000)
Be (0.872, 0.628, 0.000)
Cu (0.000, 0.000, 0.000)
Cu (0.500, 0.500, 0.000)
Rh (0.169, 0.669, 0.500)
Rh (0.331, 0.169, 0.500)
Rh (0.669, 0.831, 0.500)
Rh (0.831, 0.331, 0.500)

electronic total energy: -94.27 eV/f.u.
density of states at the Fermi level: 1.5 states/eV/f.u.
formation energy from the elements: -0.56 eV/atom
total moment: 0.000 μB per cell

***

(12)
Below is a crystal of BaAg3Rh relaxed with PBEsol, with properties calculated at the meta-GGA SCAN level.

abc: 5.558 5.558 5.558
angles: 90.00 90.00 90.00
Element x y z (fractional)
Ba (0.000, 0.000, 0.000)
Ag (0.000, 0.000, 0.500)
Ag (0.000, 0.500, 0.000)
Ag (0.500, 0.000, 0.000)
Rh (0.500, 0.500, 0.500)

electronic total energy: -158.49 eV/f.u.
density of states at the Fermi level: 2.6 states/eV/f.u.
formation energy from the elements: 1.79 eV/atom
total moment: 2.057 μB per cell